1.
Li2ZrRhO after structural relaxation, computed with PBE.

a = 3.9038 Å, b = 3.9038 Å, c = 4.3954 Å
α = 90.00°, β = 90.00°, γ = 90.00°
With the nearest neighbours (Å) after each atom.
Element x y z (fractional)
Li 0.0000 0.5000 0.0000  2 O 1.95
Li 0.5000 0.0000 0.0000  2 O 1.95
Zr 0.0000 0.0000 0.5000  2 O 2.20
Rh 0.5000 0.5000 0.5000  4 Zr 2.76, 8 Li 2.94
O 0.0000 0.0000 0.0000  4 Li 1.95

Calculated values
As for the raw formation energy: -1.2177 eV/atom. The value obtained for the electronic total energy is -30.774 eV/f.u. The space group is No. 123. The volume is 13.4 Å³/atom. The calculation puts the total magnetic moment at 0.00 μB/cell.



2.
MnPd3Pt after structural relaxation, computed with PBE.

a = 6.5364 Å, b = 5.5652 Å, c = 8.7552 Å
α = 90.00°, β = 90.00°, γ = 90.00°
With the nearest neighbours (Å) after each atom.
Element x y z (fractional)
Mn 0.1688 0.2500 0.0810  9 Pd 2.58-2.79, 2 Pt 2.67
Mn 0.3312 0.7500 0.5810  9 Pd 2.58-2.79, 2 Pt 2.67
Mn 0.6688 0.2500 0.4190  9 Pd 2.58-2.79, 2 Pt 2.67
Mn 0.8312 0.7500 0.9190  9 Pd 2.58-2.79, 2 Pt 2.67
Pd 0.1613 0.5021 0.8058  3 Mn 2.65-2.79, 5 Pd 2.69-2.81, 2 Pt 2.79-2.88
Pd 0.1613 0.9979 0.8058  3 Mn 2.65-2.79, 5 Pd 2.69-2.81, 2 Pt 2.79-2.88
Pd 0.1642 0.7500 0.0783  3 Mn 2.58-2.78, 2 Pt 2.69, 6 Pd 2.69-2.76
Pd 0.3358 0.2500 0.5783  3 Mn 2.58-2.78, 2 Pt 2.69, 6 Pd 2.69-2.76
Pd 0.3387 0.0021 0.3058  3 Mn 2.65-2.79, 5 Pd 2.69-2.81, 2 Pt 2.79-2.88
Pd 0.3387 0.4979 0.3058  3 Mn 2.65-2.79, 5 Pd 2.69-2.81, 2 Pt 2.79-2.88
Pd 0.6613 0.5021 0.6942  3 Mn 2.65-2.79, 5 Pd 2.69-2.81, 2 Pt 2.79-2.88
Pd 0.6613 0.9979 0.6942  3 Mn 2.65-2.79, 5 Pd 2.69-2.81, 2 Pt 2.79-2.88
Pd 0.6642 0.7500 0.4217  3 Mn 2.58-2.78, 2 Pt 2.69, 6 Pd 2.69-2.76
Pd 0.8358 0.2500 0.9217  3 Mn 2.58-2.78, 2 Pt 2.69, 6 Pd 2.69-2.76
Pd 0.8387 0.0021 0.1942  3 Mn 2.65-2.79, 5 Pd 2.69-2.81, 2 Pt 2.79-2.88
Pd 0.8387 0.4979 0.1942  3 Mn 2.65-2.79, 5 Pd 2.69-2.81, 2 Pt 2.79-2.88
Pt 0.0000 0.0000 0.5000  2 Mn 2.67, 6 Pd 2.69-2.88, 2 Pt 2.78
Pt 0.0000 0.5000 0.5000  2 Mn 2.67, 6 Pd 2.69-2.88, 2 Pt 2.78
Pt 0.5000 0.0000 0.0000  2 Mn 2.67, 6 Pd 2.69-2.88, 2 Pt 2.78
Pt 0.5000 0.5000 0.0000  2 Mn 2.67, 6 Pd 2.69-2.88, 2 Pt 2.78

Calculated values
As for the calculated formation energy: -0.184 eV/f.u. The value obtained for the electronic total energy is -30.973 eV/f.u. The space group is No. 62. The volume is 15.9 Å³/atom. The calculation puts the total magnetic moment at 16.64 μB/cell. Its energy above the lowest structure with this stoichiometry is 0.47 eV/f.u.



3.
SrIrPt2 after structural relaxation, computed with PBE.

a = 5.0719 Å, b = 5.0719 Å, c = 2.9175 Å
α = 90.00°, β = 90.00°, γ = 106.43°
With the nearest neighbours (Å) after each atom.
Element x y z (fractional)
Sr 0.0000 0.0000 0.0000  2 Sr 2.92, 8 Pt 2.93, 2 Ir 3.04
Ir 0.5000 0.5000 0.0000  2 Ir 2.92, 8 Pt 2.93, 2 Sr 3.04
Pt 0.0000 0.5000 0.5000  4 Pt 2.92-3.04, 4 Sr 2.93, 4 Ir 2.93
Pt 0.5000 0.0000 0.5000  4 Pt 2.92-3.04, 4 Sr 2.93, 4 Ir 2.93

Calculated values
As for the calculated formation energy: -0.265 eV/f.u. The value obtained for the electronic total energy is -22.889 eV/f.u. The space group is No. 65. The volume is 18.0 Å³/atom. The calculation puts the total magnetic moment at 0.00 μB/cell. Its energy above the lowest structure with this stoichiometry is 0.12 eV/f.u.



4.
CaDyIrRh after structural relaxation, computed with PBE.

a = 4.8268 Å, b = 4.8268 Å, c = 4.8268 Å
α = 60.00°, β = 60.00°, γ = 60.00°
With the nearest neighbours (Å) after each atom.
Element x y z (fractional)
Ca 0.0000 0.0000 0.0000  4 Ir 2.96, 4 Rh 2.96
Dy 0.5000 0.5000 0.5000  4 Ir 2.96, 4 Rh 2.96
Ir 0.7500 0.7500 0.7500  4 Dy 2.96, 4 Ca 2.96
Rh 0.2500 0.2500 0.2500  4 Dy 2.96, 4 Ca 2.96

Calculated values
As for the calculated formation energy: -2.236 eV/f.u. The value obtained for the electronic total energy is -25.052 eV/f.u. The space group is No. 216. The volume is 19.9 Å³/atom. The calculation puts the total magnetic moment at 0.00 μB/cell.